No. 1
Below is a relaxed PmCdPdPt crystal, with properties calculated at the PBE-GGA level.

Summary:
- Electronic total energy: -4.9613 eV per atom
- Density of states at the Fermi level: 9.867 states/eV per cell
- Formation enthalpy at 0 K: -0.7365 eV per atom

Lattice parameters (Å, degrees): 6.893 6.893 6.893 90.00 90.00 90.00
Space group F-43m (No. 216)
Inequivalent atoms, fractional coordinates:
1 Pm 0.000 0.000 0.000 x4
2 Cd 0.000 0.000 0.500 x4
3 Pd 0.250 0.250 0.750 x4
4 Pt 0.250 0.250 0.250 x4

=====

No. 2
Below is a relaxed TcNiIr3 crystal, with properties calculated at the PBE-GGA level.

Summary:
- Electronic total energy: -8.6077 eV per atom
- Energy relative to the lowest polymorph listed for this composition: 0.000 eV per atom
- Density of states at the Fermi level: 24.265 states/eV per cell
- Formation enthalpy at 0 K: -0.0617 eV per atom

Lattice parameters (Å, degrees): 4.690 13.496 4.652 90.00 109.33 90.00
Space group C2/c (No. 15)
Inequivalent atoms, fractional coordinates:
1 Tc 0.000 0.151 0.250 x4
2 Ni 0.000 0.351 0.250 x4
3 Ir 0.000 0.053 0.750 x4
4 Ir 0.000 0.254 0.750 x4
5 Ir 0.000 0.451 0.750 x4

=====

No. 3
Below is a relaxed PrEr3Mg6 crystal, with properties calculated at the PBE-GGA level.

Summary:
- Electronic total energy: -2.8652 eV per atom
- Density of states at the Fermi level: 18.966 states/eV per cell
- Formation enthalpy at 0 K: -0.0616 eV per atom

Lattice parameters (Å, degrees): 9.254 5.295 11.301 90.00 106.21 90.00
Space group P2_1/m (No. 11)
Inequivalent atoms, fractional coordinates:
1 Pr 0.055 0.250 0.394 x2
2 Er 0.251 0.250 0.998 x2
3 Er 0.353 0.750 0.801 x2
4 Er 0.457 0.250 0.604 x2
5 Mg 0.051 0.750 0.907 x2
6 Mg 0.148 0.750 0.197 x2
7 Mg 0.152 0.250 0.704 x2
8 Mg 0.253 0.750 0.498 x2
9 Mg 0.348 0.250 0.294 x2
10 Mg 0.444 0.750 0.101 x2

=====

No. 4
Below is a relaxed Ti3BiW crystal, with properties calculated at the PBE-GGA level.

Summary:
- Electronic total energy: -7.3999 eV per atom
- Density of states at the Fermi level: 5.696 states/eV per cell
- Formation enthalpy at 0 K: 0.7039 eV per atom

Lattice parameters (Å, degrees): 4.839 4.839 4.839 90.00 90.00 90.00
Space group Pm-3m (No. 221)
Inequivalent atoms, fractional coordinates:
1 Ti 0.000 0.000 0.500 x3
2 Bi 0.500 0.500 0.500 x1
3 W 0.000 0.000 0.000 x1